Record 1
The following is a PBE-GGA calculation of an optimized crystal structure of Ba5Zn2Ag, from Alexandria via LeMat-Bulk.

a = 8.4550 Å, b = 8.4550 Å, c = 11.0477 Å
α = 112.50°, β = 112.50°, γ = 90.00°
Last column: nearest neighbours and their distance in Å.
Fractional positions:
Ba (0.9706, 0.4706, 0.2949)  2 Ag 3.65, 3 Zn 3.69-3.76
Ba (0.8243, 0.9706, 0.2949)  2 Ag 3.65, 3 Zn 3.69-3.76
Ba (0.6757, 0.1757, 0.7051)  2 Ag 3.65, 3 Zn 3.69-3.76
Ba (0.3243, 0.8243, 0.2949)  2 Ag 3.65, 3 Zn 3.69-3.76
Ba (0.0000, 0.0000, 0.0000)  4 Zn 3.44
Ba (0.1757, 0.0294, 0.7051)  2 Ag 3.65, 3 Zn 3.69-3.76
Ba (0.0294, 0.5294, 0.7051)  2 Ag 3.65, 3 Zn 3.69-3.76
Ba (0.5000, 0.5000, 0.0000)  4 Zn 3.44
Ba (0.5294, 0.6757, 0.7051)  2 Ag 3.65, 3 Zn 3.69-3.76
Ba (0.4706, 0.3243, 0.2949)  2 Ag 3.65, 3 Zn 3.69-3.76
Ag (0.2500, 0.2500, 0.5000)  8 Ba 3.65
Ag (0.7500, 0.7500, 0.5000)  8 Ba 3.65
Zn (0.1075, 0.3925, 0.0000)  1 Zn 2.57
Zn (0.6075, 0.1075, 0.0000)  1 Zn 2.57
Zn (0.8925, 0.6075, 0.0000)  1 Zn 2.57
Zn (0.3925, 0.8925, 0.0000)  1 Zn 2.57

Properties
Electronic total energy (eV/atom): -2.013
M_tot (μB/cell): 0.000
Symmetry: I4/mcm, No. 140

---

Record 2
The following is a PBE-GGA calculation of an optimized crystal structure of Ba2Zn3Ag2, from Alexandria via LeMat-Bulk.

a = 4.6999 Å, b = 6.4260 Å, c = 7.2428 Å
α = 104.31°, β = 90.00°, γ = 111.45°
Last column: nearest neighbours and their distance in Å.
Fractional positions:
Ba (0.8185, 0.6369, 0.2752)  5 Ag 3.42-3.83, 6 Zn 3.45-3.80
Ba (0.1815, 0.3631, 0.7248)  5 Ag 3.42-3.83, 6 Zn 3.45-3.80
Ag (0.9133, 0.8266, 0.8097)  4 Zn 2.76-2.78, 1 Ag 2.98
Ag (0.0867, 0.1734, 0.1903)  4 Zn 2.76-2.78, 1 Ag 2.98
Zn (0.4508, 0.9015, 0.6359)  2 Zn 2.54-2.55, 2 Ag 2.76
Zn (0.5492, 0.0985, 0.3641)  2 Zn 2.54-2.55, 2 Ag 2.76
Zn (0.5000, 0.0000, 0.0000)  2 Zn 2.54, 4 Ag 2.78

Properties
Electronic total energy (eV/atom): -2.128
M_tot (μB/cell): 0.000
Symmetry: C2/m, No. 12

---

Record 3
The following is a PBE-GGA calculation of an optimized crystal structure of Ba3Zn3Ag8, from Alexandria via LeMat-Bulk.

a = 4.8456 Å, b = 8.9318 Å, c = 8.9318 Å
α = 70.51°, β = 74.26°, γ = 74.26°
Last column: nearest neighbours and their distance in Å.
Fractional positions:
Ba (0.1934, 0.8066, 0.8066)  10 Ag 3.41-3.64, 4 Zn 3.53-3.60
Ba (0.8066, 0.1934, 0.1934)  10 Ag 3.41-3.64, 4 Zn 3.53-3.60
Ba (0.5000, 0.5000, 0.5000)  12 Ag 3.36-3.72, 4 Zn 3.72
Zn (0.0000, 0.7743, 0.2257)  6 Ag 2.70-2.89
Zn (0.5000, 0.0000, 0.0000)  4 Ag 2.70
Zn (0.0000, 0.2257, 0.7743)  6 Ag 2.70-2.89
Ag (0.6147, 0.6730, 0.0976)  3 Zn 2.70-2.89, 3 Ag 2.93-3.01
Ag (0.3853, 0.3270, 0.9024)  3 Zn 2.70-2.89, 3 Ag 2.93-3.01
Ag (0.3853, 0.9024, 0.3270)  3 Zn 2.70-2.89, 3 Ag 2.93-3.01
Ag (0.8278, 0.8205, 0.5240)  1 Zn 2.70, 3 Ag 2.93-3.01
Ag (0.8278, 0.5240, 0.8205)  1 Zn 2.70, 3 Ag 2.93-3.01
Ag (0.6147, 0.0976, 0.6730)  3 Zn 2.70-2.89, 3 Ag 2.93-3.01
Ag (0.1722, 0.1795, 0.4760)  1 Zn 2.70, 3 Ag 2.93-3.01
Ag (0.1722, 0.4760, 0.1795)  1 Zn 2.70, 3 Ag 2.93-3.01

Properties
Electronic total energy (eV/atom): -2.492
M_tot (μB/cell): 0.000
Symmetry: Immm, No. 71

---

Record 4
The following is a PBE-GGA calculation of an optimized crystal structure of BaZnAg2, from Alexandria via LeMat-Bulk.

a = 6.2120 Å, b = 7.5672 Å, c = 8.5697 Å
α = 90.00°, β = 90.00°, γ = 90.00°
Last column: nearest neighbours and their distance in Å.
Fractional positions:
Ag (0.5940, 0.4382, 0.6698)  3 Zn 2.79-2.90, 1 Ag 2.85
Ag (0.4060, 0.9382, 0.3302)  3 Zn 2.79-2.90, 1 Ag 2.85
Ag (0.9060, 0.0618, 0.1698)  3 Zn 2.79-2.90, 1 Ag 2.85
Ag (0.4060, 0.5618, 0.3302)  3 Zn 2.79-2.90, 1 Ag 2.85
Ag (0.0940, 0.5618, 0.8302)  3 Zn 2.79-2.90, 1 Ag 2.85
Ag (0.0940, 0.9382, 0.8302)  3 Zn 2.79-2.90, 1 Ag 2.85
Ag (0.5940, 0.0618, 0.6698)  3 Zn 2.79-2.90, 1 Ag 2.85
Ag (0.9060, 0.4382, 0.1698)  3 Zn 2.79-2.90, 1 Ag 2.85
Ba (0.3704, 0.2500, 0.0389)  3 Zn 3.33-3.45, 6 Ag 3.41-3.44
Ba (0.1296, 0.2500, 0.5389)  3 Zn 3.33-3.45, 6 Ag 3.41-3.44
Ba (0.6296, 0.7500, 0.9611)  3 Zn 3.33-3.45, 6 Ag 3.41-3.44
Ba (0.8704, 0.7500, 0.4611)  3 Zn 3.33-3.45, 6 Ag 3.41-3.44
Zn (0.8629, 0.2500, 0.8763)  6 Ag 2.79-2.90
Zn (0.1371, 0.7500, 0.1237)  6 Ag 2.79-2.90
Zn (0.6371, 0.2500, 0.3763)  6 Ag 2.79-2.90
Zn (0.3629, 0.7500, 0.6237)  6 Ag 2.79-2.90

Properties
Electronic total energy (eV/atom): -2.423
M_tot (μB/cell): 0.000
Symmetry: Pnma, No. 62

---

Record 5
The following is a PBE-GGA calculation of an optimized crystal structure of Ba5ZnAg4, from Alexandria via LeMat-Bulk.

a = 4.1272 Å, b = 4.1272 Å, c = 20.4972 Å
α = 90.00°, β = 90.00°, γ = 90.00°
Last column: nearest neighbours and their distance in Å.
Fractional positions:
Ba (0.5000, 0.5000, 0.6994)  8 Ag 3.56-3.58
Ba (0.5000, 0.5000, 0.5000)  8 Ag 3.56
Ba (0.5000, 0.5000, 0.9007)  4 Zn 3.56, 4 Ag 3.57
Ba (0.5000, 0.5000, 0.3006)  8 Ag 3.56-3.58
Ba (0.5000, 0.5000, 0.0993)  4 Zn 3.56, 4 Ag 3.57
Ag (0.0000, 0.0000, 0.8002)  8 Ba 3.57-3.58
Ag (0.0000, 0.0000, 0.5998)  8 Ba 3.56
Ag (0.0000, 0.0000, 0.1998)  8 Ba 3.57-3.58
Ag (0.0000, 0.0000, 0.4002)  8 Ba 3.56
Zn (0.0000, 0.0000, 0.0000)  8 Ba 3.56

Properties
Electronic total energy (eV/atom): -2.445
M_tot (μB/cell): 0.000
Symmetry: P4/mmm, No. 123

---

Record 6
The following is a PBE-GGA calculation of an optimized crystal structure of BaZn5Ag2, from Alexandria via LeMat-Bulk.

a = 4.3244 Å, b = 6.7827 Å, c = 6.7827 Å
α = 65.96°, β = 71.41°, γ = 71.41°
Last column: nearest neighbours and their distance in Å.
Fractional positions:
Zn (0.3650, 0.8150, 0.4550)  4 Zn 2.66-2.91, 3 Ag 2.68-2.79
Zn (0.6350, 0.5450, 0.1850)  4 Zn 2.66-2.91, 3 Ag 2.68-2.79
Zn (0.0000, 0.5000, 0.5000)  2 Ag 2.59
Zn (0.6350, 0.1850, 0.5450)  4 Zn 2.66-2.91, 3 Ag 2.68-2.79
Zn (0.3650, 0.4550, 0.8150)  4 Zn 2.66-2.91, 3 Ag 2.68-2.79
Ag (0.7542, 0.7458, 0.7458)  7 Zn 2.59-2.79
Ag (0.2458, 0.2542, 0.2542)  7 Zn 2.59-2.79
Ba (0.0000, 0.0000, 0.0000)  4 Ag 3.44, 10 Zn 3.50-3.69

Properties
Electronic total energy (eV/atom): -1.855
M_tot (μB/cell): 0.000
Symmetry: Immm, No. 71

---

Repeat the second record exactly.
The following is a PBE-GGA calculation of an optimized crystal structure of Ba2Zn3Ag2, from Alexandria via LeMat-Bulk.

a = 4.6999 Å, b = 6.4260 Å, c = 7.2428 Å
α = 104.31°, β = 90.00°, γ = 111.45°
Last column: nearest neighbours and their distance in Å.
Fractional positions:
Ba (0.8185, 0.6369, 0.2752)  5 Ag 3.42-3.83, 6 Zn 3.45-3.80
Ba (0.1815, 0.3631, 0.7248)  5 Ag 3.42-3.83, 6 Zn 3.45-3.80
Ag (0.9133, 0.8266, 0.8097)  4 Zn 2.76-2.78, 1 Ag 2.98
Ag (0.0867, 0.1734, 0.1903)  4 Zn 2.76-2.78, 1 Ag 2.98
Zn (0.4508, 0.9015, 0.6359)  2 Zn 2.54-2.55, 2 Ag 2.76
Zn (0.5492, 0.0985, 0.3641)  2 Zn 2.54-2.55, 2 Ag 2.76
Zn (0.5000, 0.0000, 0.0000)  2 Zn 2.54, 4 Ag 2.78

Properties
Electronic total energy (eV/atom): -2.128
M_tot (μB/cell): 0.000
Symmetry: C2/m, No. 12